## CoRhI2O (PBE with a Hubbard U)

Data for a geometry-optimized CoRhI2O structure.

Calculated values
As for the space group: P4/mmm. The calculated density comes out at 6.1 g/cm³. For the magnetization, the calculation gives 2.699 μB per cell. For the final energy, the calculation gives -3.844 eV/atom.

a b c (Å): 5.6052 5.6052 3.7425
angles (deg): 90.00 90.00 90.00
Element x y z (fractional)
Co 0.0000 0.0000 0.0000
Rh 0.5000 0.5000 0.5000
I 0.0000 0.5000 0.5000
I 0.5000 0.0000 0.5000
O 0.5000 0.5000 0.0000